Record 1
# PBE-GGA Hg2Rh, optimized geometry
# Calculated total energy: -2.65 eV per atom
# Mass density: 12.63 g/cm³
data_Hg2Rh
_cell_length_a 4.6470
_cell_length_b 4.6470
_cell_length_c 3.0691
_cell_angle_alpha 90.00
_cell_angle_beta 90.00
_cell_angle_gamma 90.00
_space_group_name_H-M_alt 'P 4/m m m'
_space_group_IT_number 123
_space_group_name_Hall '-P 4 2'
loop_
_atom_site_label
_atom_site_fract_x
_atom_site_fract_y
_atom_site_fract_z
Hg1 0.0000 0.5000 0.0000
Rh1 0.0000 0.0000 0.5000

---

Record 2
# PBE-GGA Hg3Rh5, optimized geometry
# Calculated total energy: -4.27 eV per atom
# Mass density: 13.00 g/cm³
data_Hg3Rh5
_cell_length_a 14.1851
_cell_length_b 8.1981
_cell_length_c 4.9044
_cell_angle_alpha 90.00
_cell_angle_beta 90.00
_cell_angle_gamma 90.00
_space_group_name_H-M_alt 'C m c m'
_space_group_IT_number 63
_space_group_name_Hall '-C 2c 2'
loop_
_atom_site_label
_atom_site_fract_x
_atom_site_fract_y
_atom_site_fract_z
Hg1 0.0000 0.1080 0.2500
Hg2 0.1962 0.3037 0.7500
Rh1 0.0000 0.3113 0.7500
Rh2 0.0941 0.4061 0.2500
Rh3 0.1667 0.0000 0.0000

---

Question: Look up the mass density of the second one.
Answer: 13.00 g/cm³

---

Please write out number 1 again, unchanged.
# PBE-GGA Hg2Rh, optimized geometry
# Calculated total energy: -2.65 eV per atom
# Mass density: 12.63 g/cm³
data_Hg2Rh
_cell_length_a 4.6470
_cell_length_b 4.6470
_cell_length_c 3.0691
_cell_angle_alpha 90.00
_cell_angle_beta 90.00
_cell_angle_gamma 90.00
_space_group_name_H-M_alt 'P 4/m m m'
_space_group_IT_number 123
_space_group_name_Hall '-P 4 2'
loop_
_atom_site_label
_atom_site_fract_x
_atom_site_fract_y
_atom_site_fract_z
Hg1 0.0000 0.5000 0.0000
Rh1 0.0000 0.0000 0.5000

---

Question: What is the mass density in the second record?
Answer: 13.00 g/cm³